The following is a DFT calculation (GGA-PBE) of a geometry-optimized NdThB4 structure.

Calculated values
- V: 80.2 Å³ per cell
- Size of the total moment: 0.0 μB/cell
- Excess energy over the best structure of this formula in the dataset: 0.03 eV per formula unit
- E: -6.863 eV per atom
- Density: 8.69 g/cm³

Cell lengths 5.331, 5.331, 5.331 Å; angles 143.52, 114.37, 77.48 degrees
Sites, in units of the cell vectors:
B 0.582 0.249 0.333
B 0.083 0.750 0.333
B 0.917 0.249 0.667
B 0.418 0.750 0.667
Nd 0.000 0.000 0.000
Th 0.500 0.500 0.000